LiZr2SbF | PBE-GGA | relaxed

Cell and atoms, written as CIF:
```
data_LiZr2SbF
_chemical_formula_sum 'Li1 Zr2 Sb1 F1'
_space_group_name_H-M_alt 'P 4/m m m'
_space_group_IT_number 123
_space_group_name_Hall '-P 4 2'
_cell_length_a 4.768
_cell_length_b 4.768
_cell_length_c 3.801
_cell_angle_alpha 90.00
_cell_angle_beta 90.00
_cell_angle_gamma 90.00
loop_
_atom_site_label
_atom_site_fract_x
_atom_site_fract_y
_atom_site_fract_z
Li1 0.000 0.000 0.000
Zr1 0.000 0.500 0.500
Sb1 0.500 0.500 0.000
F1 0.000 0.000 0.500
```

**DOS at the Fermi energy**: 2.97 states/eV per cell
**Total energy**: -5.963 eV/atom